DFT (PBE-GGA) results for a relaxed structure of PdI4.

raw formation energy	-5	kJ/mol of atoms
space-group type	P2/c

Lattice parameters (Å, degrees): 6.4188 7.4530 9.3802 90.00 90.00 105.01
With the nearest neighbours (Å) after each atom.
Element x y z (fractional)
I  0.7449  0.2295  0.1524  1 Pd 2.74
I  0.2600  0.3837  0.5872  2 Pd 2.76-2.78
I  0.7449  0.7295  0.8476  1 Pd 2.74
Pd  0.5000  0.2500  0.3884  6 I 2.74-2.78
I  0.2600  0.8837  0.4128  2 Pd 2.76-2.78
I  0.7400  0.6163  0.4128  2 Pd 2.76-2.78
I  0.2551  0.7705  0.8476  1 Pd 2.74
I  0.7400  0.1163  0.5872  2 Pd 2.76-2.78
I  0.2551  0.2705  0.1524  1 Pd 2.74
Pd  0.5000  0.7500  0.6116  6 I 2.74-2.78


DFT (PBE-GGA) results for a relaxed structure of TcTeSe2.

raw formation energy	-13	kJ/mol of atoms
space-group type	P1

Lattice parameters (Å, degrees): 3.0856 6.5751 6.5623 62.57 87.69 101.23
With the nearest neighbours (Å) after each atom.
Element x y z (fractional)
Tc  0.4143  0.4493  0.6321  4 Se 2.43, 1 Te 2.57
Se  0.7981  0.1658  0.6174  2 Tc 2.43
Se  0.9027  0.4775  0.9042  2 Tc 2.43
Te  0.6071  0.8337  0.2442  1 Tc 2.57


DFT (PBE-GGA) results for a relaxed structure of Zr2PaGa9.

energy of formation	-0.4499	eV per atom
space-group type	P4/mmm

Lattice parameters (Å, degrees): 4.1823 4.1823 12.5446 90.00 90.00 90.00
With the nearest neighbours (Å) after each atom.
Element x y z (fractional)
Ga  0.5000  0.0000  0.8265  8 Ga 2.91-3.02, 2 Zr 2.95, 2 Pa 3.02
Ga  0.0000  0.5000  0.1735  8 Ga 2.91-3.02, 2 Zr 2.95, 2 Pa 3.02
Ga  0.0000  0.5000  0.8265  8 Ga 2.91-3.02, 2 Zr 2.95, 2 Pa 3.02
Ga  0.5000  0.0000  0.1735  8 Ga 2.91-3.02, 2 Zr 2.95, 2 Pa 3.02
Ga  0.0000  0.5000  0.5000  4 Zr 2.91, 8 Ga 2.95-2.96
Pa  0.0000  0.0000  0.0000  12 Ga 2.96-3.02
Ga  0.5000  0.5000  0.6654  8 Ga 2.91-2.95, 4 Zr 2.96
Ga  0.5000  0.5000  0.0000  4 Pa 2.96, 8 Ga 3.02
Ga  0.5000  0.0000  0.5000  4 Zr 2.91, 8 Ga 2.95-2.96
Ga  0.5000  0.5000  0.3346  8 Ga 2.91-2.95, 4 Zr 2.96
Zr  0.0000  0.0000  0.3388  12 Ga 2.91-2.96
Zr  0.0000  0.0000  0.6612  12 Ga 2.91-2.96


Number 1: total magnetization 0.0 μB per formula unit, DOS(E_F) 7.00 states/eV per cell. Number 2: total magnetization 0.0 μB per formula unit, DOS(E_F) 1.47 states/eV per cell. Number 3: total magnetization 0.0 μB per formula unit, DOS(E_F) 5.48 states/eV per cell.